A geometry-optimized CaTeOs2 structure. Source: Alexandria via LeMat-Bulk, functional GGA-PBEsol.

a b c (Å): 3.9826 3.9826 8.7638
angles (deg): 90.00 90.00 90.00
Space group I-4m2 (No. 119)
Unique sites:
Ca1 0.0000 0.0000 0.0000
Te1 0.0000 0.5000 0.7500
Os1 0.0000 0.0000 0.5000
Os2 0.0000 0.5000 0.2500

Results
volume: 139.0 Å³ per cell

---

A geometry-optimized CaTeOs2 structure. Source: Alexandria via LeMat-Bulk, functional GGA-PBEsol.

a b c (Å): 4.0047 4.0047 8.8960
angles (deg): 90.00 90.00 90.00
Space group I4/mmm (No. 139)
Unique sites:
Ca1 0.0000 0.0000 0.0000
Te1 0.0000 0.0000 0.5000
Os1 0.0000 0.5000 0.2500

Results
volume: 142.7 Å³ per cell

---

N(E_F), respectively: 8.248, 10.706 states/eV/cell.
Energy relative to the elements, uncorrected, respectively: 0.656, 0.703 eV/atom.